# 1
The following is a PBE-GGA calculation of a relaxed structure of PuScAuO6, from the Alexandria database.

Unit cell a=5.5272 b=5.5272 c=9.2223 alpha=90.00 beta=90.00 gamma=120.00
Closest atoms and distances in Å follow each position.
Fractional coordinates of all 18 atoms:
Pu: 0.3333 0.6667 0.2500  6 O 2.02
Pu: 0.6667 0.3333 0.7500  6 O 2.02
Sc: 0.3333 0.6667 0.7500  6 O 2.13
Sc: 0.6667 0.3333 0.2500  6 O 2.13
Au: 0.0000 0.0000 0.0000  6 O 2.33
Au: 0.0000 0.0000 0.5000  6 O 2.33
O: 0.0138 0.3640 0.1345  1 Pu 2.02, 1 Sc 2.13
O: 0.0138 0.6499 0.3655  1 Pu 2.02, 1 Sc 2.13
O: 0.3501 0.3640 0.3655  1 Pu 2.02, 1 Sc 2.13
O: 0.3501 0.9862 0.1345  1 Pu 2.02, 1 Sc 2.13
O: 0.3640 0.0138 0.6345  1 Pu 2.02, 1 Sc 2.13
O: 0.3640 0.3501 0.8655  1 Pu 2.02, 1 Sc 2.13
O: 0.6360 0.6499 0.1345  1 Pu 2.02, 1 Sc 2.13
O: 0.6360 0.9862 0.3655  1 Pu 2.02, 1 Sc 2.13
O: 0.6499 0.0138 0.8655  1 Pu 2.02, 1 Sc 2.13
O: 0.6499 0.6360 0.6345  1 Pu 2.02, 1 Sc 2.13
O: 0.9862 0.3501 0.6345  1 Pu 2.02, 1 Sc 2.13
O: 0.9862 0.6360 0.8655  1 Pu 2.02, 1 Sc 2.13

Summary:
Crystal system: trigonal
Density (g cm⁻³): 7.921
SG: P-31c, No. 163
Density of states at the Fermi level (states/eV/cell): 11.12
Uncorrected formation energy (kJ/mol of formula units): -1679

# 2
The following is a PBE-GGA calculation of a relaxed structure of HfTaReOs, from the Alexandria database.

Unit cell a=3.2228 b=3.2228 c=6.4756 alpha=90.00 beta=90.00 gamma=90.00
Closest atoms and distances in Å follow each position.
Fractional coordinates of all 4 atoms:
Hf: 0.0000 0.0000 0.0000  4 Os 2.82, 4 Re 2.83
Ta: 0.0000 0.0000 0.4953  4 Re 2.75, 4 Os 2.79
Re: 0.5000 0.5000 0.2585  4 Ta 2.75, 4 Hf 2.83
Os: 0.5000 0.5000 0.7432  4 Ta 2.79, 4 Hf 2.82

Summary:
Crystal system: tetragonal
Density (g cm⁻³): 18.168
SG: P4mm, No. 99
Density of states at the Fermi level (states/eV/cell): 0.80
E_form (eV per atom): -0.50
E above lowest polymorph (kJ/mol of formula units): 1.2

# 3
The following is a PBE-GGA calculation of a relaxed structure of SiBr3, from the Alexandria database.

Unit cell a=10.7030 b=10.7030 c=3.3301 alpha=90.00 beta=90.00 gamma=120.00
Closest atoms and distances in Å follow each position.
Fractional coordinates of all 8 atoms:
Si: 0.3333 0.6667 0.2500  6 Br 2.60
Si: 0.6667 0.3333 0.7500  6 Br 2.60
Br: 0.2259 0.4518 0.7500  2 Si 2.60
Br: 0.2259 0.7741 0.7500  2 Si 2.60
Br: 0.4518 0.2259 0.2500  2 Si 2.60
Br: 0.5482 0.7741 0.7500  2 Si 2.60
Br: 0.7741 0.2259 0.2500  2 Si 2.60
Br: 0.7741 0.5482 0.2500  2 Si 2.60

Summary:
Crystal system: hexagonal
Density (g cm⁻³): 2.692
SG: P6_3/mmc, No. 194
Density of states at the Fermi level (states/eV/cell): 3.56
E above lowest polymorph (kJ/mol of formula units): 179.9
Uncorrected formation energy (kJ/mol of formula units): -111

# 4
The following is a PBE-GGA calculation of a relaxed structure of LiCaBe2V, from the Alexandria database.

Unit cell a=4.5691 b=4.5691 c=4.6976 alpha=90.00 beta=90.00 gamma=90.00
Closest atoms and distances in Å follow each position.
Fractional coordinates of all 5 atoms:
Li: 0.0000 0.0000 0.0000  2 V 2.35
Ca: 0.5000 0.5000 0.0000  4 Li 3.23, 8 Be 3.28
Be: 0.0000 0.5000 0.5000  2 V 2.28
Be: 0.5000 0.0000 0.5000  2 V 2.28
V: 0.0000 0.0000 0.5000  4 Be 2.28, 2 Li 2.35

Summary:
Crystal system: tetragonal
Density (g cm⁻³): 1.964
SG: P4/mmm, No. 123
Density of states at the Fermi level (states/eV/cell): 3.26
E_form (eV per atom): 0.81